(1)
Here is an optimized crystal structure of Cs2CeSc2S6 from the Alexandria database. Energies are from PBE-GGA.

Unit cell a=6.772 b=6.772 c=8.514 alpha=97.58 beta=97.58 gamma=120.33
Fractional positions:
1 Cs 0.166 0.834 0.000
2 Cs 0.834 0.166 0.000
3 Ce 0.000 0.000 0.500
4 Sc 0.333 0.667 0.500
5 Sc 0.667 0.333 0.500
6 S 0.057 0.402 0.672
7 S 0.288 0.288 0.327
8 S 0.402 0.057 0.672
9 S 0.598 0.943 0.328
10 S 0.712 0.712 0.673
11 S 0.943 0.598 0.328

DFT total energy (eV/atom): -5.858
Space-group type: C2/m, No. 12



(2)
Here is an optimized crystal structure of Cs3Ce2ScS6 from the Alexandria database. Energies are from PBE-GGA.

Unit cell a=7.184 b=7.184 c=8.385 alpha=98.22 beta=98.22 gamma=119.99
Fractional positions:
1 Cs 0.000 0.000 0.000
2 Cs 0.332 0.668 0.000
3 Cs 0.668 0.332 0.000
4 Ce 0.167 0.833 0.500
5 Ce 0.833 0.167 0.500
6 Sc 0.500 0.500 0.500
7 S 0.126 0.440 0.320
8 S 0.246 0.246 0.681
9 S 0.440 0.126 0.320
10 S 0.560 0.874 0.680
11 S 0.754 0.754 0.319
12 S 0.874 0.560 0.680

DFT total energy (eV/atom): -5.504
Space-group type: C2/m, No. 12



(3)
Here is an optimized crystal structure of CsCeScS4 from the Alexandria database. Energies are from PBE-GGA.

Unit cell a=7.079 b=7.019 c=9.045 alpha=90.00 beta=100.86 gamma=90.00
Fractional positions:
1 Cs 0.166 0.250 0.077
2 Cs 0.834 0.750 0.923
3 Ce 0.164 0.750 0.456
4 Ce 0.836 0.250 0.544
5 Sc 0.376 0.250 0.665
6 Sc 0.624 0.750 0.335
7 S 0.128 0.005 0.685
8 S 0.128 0.495 0.685
9 S 0.298 0.750 0.193
10 S 0.456 0.250 0.421
11 S 0.544 0.750 0.579
12 S 0.702 0.250 0.807
13 S 0.872 0.505 0.315
14 S 0.872 0.995 0.315

DFT total energy (eV/atom): -5.879
Space-group type: P2_1/m, No. 11